Here is an optimized crystal structure of Cs2MnSiO4 from Alexandria via LeMat-Bulk. Energies are from GGA+U.

Computed properties:
Its space-group type is No. 70. As for the electronic total energy: -101.4 eV/cell.

Cell lengths 5.239, 6.713, 11.419 Å; angles 84.87, 76.74, 67.04 degrees
Site moments in Bohr magnetons follow the coordinates.
Element x y z (fractional)
Cs 0.174 0.000 0.651  0.01
Cs 0.826 0.000 0.349  0.01
Cs 0.576 0.500 0.849  0.01
Cs 0.924 0.500 0.151  0.01
Mn 0.750 0.500 0.500  4.52
Mn 0.000 0.000 0.000  4.52
Si 0.250 0.500 0.500  0.00
Si 0.500 0.000 0.000  0.00
O 0.340 0.846 0.081  0.04
O 0.267 0.154 0.919  0.04
O 0.814 0.846 0.919  0.04
O 0.579 0.154 0.081  0.04
O 0.410 0.654 0.419  0.04
O 0.483 0.346 0.581  0.04
O 0.936 0.654 0.581  0.04
O 0.171 0.346 0.419  0.04